(1)
Hf2ZnPt: relaxed, GGA-PBE.

Cell: 4.293 4.293 7.822 Å, 90.00 90.00 90.00°
Space group I4/mmm (No. 139)
Symmetry-distinct sites (fractional):
Hf: 0.000 0.500 0.250
Zn: 0.000 0.000 0.000
Pt: 0.000 0.000 0.500

Summary:
final energy	-58.8	eV/cell
energy of formation	-0.547	eV per atom
spin magnetization	0.02	μB/f.u.

=====

(2)
CsYZrTe3: relaxed, GGA-PBE.

Cell: 4.536 17.739 11.332 Å, 90.00 90.00 90.00°
Space group Cmcm (No. 63)
Symmetry-distinct sites (fractional):
Cs: 0.000 0.246 0.250
Y: 0.000 0.476 0.750
Zr: 0.000 0.000 0.000
Te: 0.000 0.079 0.750
Te: 0.000 0.385 0.533

Summary:
final energy	-125.4	eV/cell
spin magnetization	1.62	μB/f.u.
ΔE to the lowest computed polymorph	57	meV/atom

=====

(3)
MoSe2: relaxed, GGA-PBE.

Cell: 6.423 6.335 6.524 Å, 90.00 116.62 90.00°
Space group P2_1/c (No. 14)
Symmetry-distinct sites (fractional):
Mo: 0.215 0.008 0.199
Se: 0.158 0.644 0.330
Se: 0.352 0.133 0.630

Summary:
final energy	-76.0	eV/cell
spin magnetization	0.00	μB/f.u.